[1]
Na2Ac2Se3Cl2: optimized geometry, PBE-GGA.

Cell lengths 6.0634, 6.0634, 8.7496 Å; angles 110.27, 110.27, 90.00 degrees
Atoms (fractional coordinates):
1 Se 0.7500 0.2500 0.5000
2 Ac 0.7947 0.7947 0.5895
3 Ac 0.2053 0.2053 0.4105
4 Na 0.0000 0.5000 0.0000
5 Se 0.2500 0.7500 0.5000
6 Se 0.0000 0.0000 0.0000
7 Cl 0.3949 0.3949 0.7898
8 Na 0.5000 0.0000 0.0000
9 Cl 0.6051 0.6051 0.2102

Computed properties:
crystal system: tetragonal
total DFT energy (no corrections): -40.913 eV for the cell shown
theoretical density: 4783 kg/m³
magnetic moment: 0.000 μB/atom


[2]
NaAcSn2Cl8: optimized geometry, PBE-GGA.

Cell lengths 6.8009, 6.6210, 8.8405 Å; angles 91.07, 90.60, 88.76 degrees
Atoms (fractional coordinates):
1 Cl 0.3272 0.2712 0.0275
2 Cl 0.1900 0.7971 0.7457
3 Cl 0.1523 0.7632 0.2496
4 Ac 0.0000 0.0000 0.0000
5 Na 0.0000 0.0000 0.5000
6 Cl 0.6728 0.7288 0.9725
7 Cl 0.6715 0.7100 0.5275
8 Cl 0.3285 0.2900 0.4725
9 Sn 0.4976 0.5014 0.2653
10 Cl 0.8477 0.2368 0.7504
11 Cl 0.8100 0.2029 0.2543
12 Sn 0.5024 0.4986 0.7347

Computed properties:
crystal system: triclinic
total DFT energy (no corrections): -47.340 eV for the cell shown
theoretical density: 3218 kg/m³
magnetic moment: 0.000 μB/atom


[3]
NaAcSnCl6: optimized geometry, PBE-GGA.

Cell lengths 6.7120, 6.7120, 13.1939 Å; angles 90.00, 90.00, 90.00 degrees
Atoms (fractional coordinates):
1 Cl 0.3054 0.3054 0.3326
2 Cl 0.6957 0.6957 0.6654
3 Cl 0.8054 0.1946 0.8326
4 Sn 0.0000 0.0000 0.0005
5 Ac 0.5000 0.5000 0.8338
6 Cl 0.8043 0.1957 0.1654
7 Na 0.0000 0.0000 0.6671
8 Na 0.5000 0.5000 0.1671
9 Ac 0.0000 0.0000 0.3337
10 Cl 0.1957 0.8043 0.1654
11 Cl 0.6974 0.6974 0.0013
12 Cl 0.6946 0.6946 0.3326
13 Cl 0.3043 0.3043 0.6654
14 Cl 0.3026 0.3026 0.0013
15 Cl 0.8026 0.1974 0.5013
16 Cl 0.1946 0.8054 0.8326
17 Cl 0.1974 0.8026 0.5013
18 Sn 0.5000 0.5000 0.5005

Computed properties:
crystal system: tetragonal
total DFT energy (no corrections): -73.425 eV for the cell shown
theoretical density: 3249 kg/m³
magnetic moment: 0.000 μB/atom


[4]
NaSrAcCl6: optimized geometry, PBE-GGA.

Cell lengths 6.7542, 6.7542, 13.3107 Å; angles 90.00, 90.00, 90.00 degrees
Atoms (fractional coordinates):
1 Na 0.5000 0.5000 0.1666
2 Cl 0.3037 0.3037 0.3314
3 Cl 0.1949 0.8051 0.5005
4 Cl 0.1962 0.8038 0.1682
5 Na 0.0000 0.0000 0.6666
6 Cl 0.8038 0.1962 0.1682
7 Ac 0.0000 0.0000 0.3338
8 Ac 0.5000 0.5000 0.8338
9 Cl 0.6949 0.6949 0.0005
10 Cl 0.1963 0.8037 0.8313
11 Cl 0.6963 0.6963 0.3314
12 Cl 0.3038 0.3038 0.6682
13 Sr 0.5000 0.5000 0.4995
14 Sr 0.0000 0.0000 0.9995
15 Cl 0.8051 0.1949 0.5005
16 Cl 0.8037 0.1963 0.8313
17 Cl 0.3051 0.3051 0.0005
18 Cl 0.6962 0.6962 0.6682

Computed properties:
crystal system: tetragonal
total DFT energy (no corrections): -77.641 eV for the cell shown
theoretical density: 3010 kg/m³
magnetic moment: 0.000 μB/atom


[5]
NaAcTeCl: optimized geometry, PBE-GGA.

Cell lengths 5.5180, 5.5180, 5.5180 Å; angles 60.00, 60.00, 60.00 degrees
Last column: magnetic moment on the atom in μB.
Atoms (fractional coordinates):
1 Cl 0.7500 0.7500 0.7500  0.01
2 Te 0.2500 0.2500 0.2500  0.01
3 Na 0.5000 0.5000 0.5000  0.02
4 Ac 0.0000 0.0000 0.0000  0.18

Computed properties:
crystal system: cubic
total DFT energy (no corrections): -15.551 eV for the cell shown
theoretical density: 5773 kg/m³
magnetic moment: 0.163 μB/atom


[6]
Ac3NbCl2O6: optimized geometry, PBE-GGA.

Cell lengths 5.8376, 6.9626, 7.1175 Å; angles 119.28, 82.62, 90.00 degrees
Atoms (fractional coordinates):
1 Cl 0.1127 0.7175 0.4349
2 O 0.6924 0.2848 0.1151
3 O 0.3076 0.1697 0.8849
4 O 0.6924 0.8303 0.1151
5 Ac 0.5000 0.0000 0.5000
6 Ac 0.5000 0.5000 0.5000
7 O 0.3076 0.7152 0.8849
8 O 0.3366 0.1536 0.3072
9 Cl 0.8873 0.2825 0.5651
10 O 0.6634 0.8464 0.6928
11 Ac 0.0000 0.5000 0.0000
12 Nb 0.5000 0.0000 0.0000

Computed properties:
crystal system: monoclinic
total DFT energy (no corrections): -87.551 eV for the cell shown
theoretical density: 6260 kg/m³
magnetic moment: 0.000 μB/atom


[7]
AcNd3Cl: optimized geometry, PBE-GGA.

Cell lengths 5.5709, 5.5709, 5.5709 Å; angles 90.00, 90.00, 90.00 degrees
Atoms (fractional coordinates):
1 Cl 0.0000 0.0000 0.0000
2 Ac 0.5000 0.5000 0.5000
3 Nd 0.5000 0.0000 0.0000
4 Nd 0.0000 0.5000 0.0000
5 Nd 0.0000 0.0000 0.5000

Computed properties:
crystal system: cubic
total DFT energy (no corrections): -22.910 eV for the cell shown
theoretical density: 6677 kg/m³
magnetic moment: 0.000 μB/atom


[8]
AcNdCl: optimized geometry, PBE-GGA.

Cell lengths 3.9272, 3.9272, 7.7139 Å; angles 90.00, 90.00, 120.00 degrees
Last column: magnetic moment on the atom in μB.
Atoms (fractional coordinates):
1 Cl 0.3333 0.6667 0.6444  0.00
2 Nd 0.6667 0.3333 0.3734  0.14
3 Ac 0.0000 0.0000 0.9822  0.07

Computed properties:
crystal system: trigonal
total DFT energy (no corrections): -13.357 eV for the cell shown
theoretical density: 6555 kg/m³
magnetic moment: 0.174 μB/atom


[9]
AcNdCl6: optimized geometry, PBE-GGA.

Cell lengths 7.0540, 7.0536, 7.7323 Å; angles 62.87, 62.89, 60.03 degrees
Atoms (fractional coordinates):
1 Cl 0.9095 0.6054 0.2435
2 Nd 0.0000 0.0000 0.0000
3 Cl 0.3943 0.7585 0.7565
4 Ac 0.5000 0.5000 0.5000
5 Cl 0.7579 0.0906 0.7569
6 Cl 0.2421 0.9094 0.2431
7 Cl 0.0905 0.3946 0.7565
8 Cl 0.6057 0.2415 0.2435

Computed properties:
crystal system: trigonal
total DFT energy (no corrections): -38.459 eV for the cell shown
theoretical density: 3422 kg/m³
magnetic moment: 0.000 μB/atom


[10]
Ac3NdCl: optimized geometry, PBE-GGA.

Cell lengths 5.8438, 5.8438, 5.8438 Å; angles 90.00, 90.00, 90.00 degrees
Atoms (fractional coordinates):
1 Ac 0.0000 0.0000 0.5000
2 Cl 0.0000 0.0000 0.0000
3 Nd 0.5000 0.5000 0.5000
4 Ac 0.0000 0.5000 0.0000
5 Ac 0.5000 0.0000 0.0000

Computed properties:
crystal system: cubic
total DFT energy (no corrections): -21.385 eV for the cell shown
theoretical density: 7162 kg/m³
magnetic moment: 0.000 μB/atom